Here is a relaxed Pm7Pr5 crystal from Alexandria via LeMat-Bulk. Energies are from PBE.

* ΔH_f (0 K): 1.88 eV per formula unit
* total magnetic moment: 0.00 μB per formula unit
* VASP energy: -4.61 eV/atom
* DOS(E_F): 19.0 states/eV/f.u.
* crystal system: monoclinic
* energy above the lowest structure with this stoichiometry: 152 meV/atom

Lattice parameters (Å, degrees): 5.731 5.731 15.029 102.54 102.54 63.05
Fractional coordinates of all 12 atoms:
Pm  0.000  0.000  0.000
Pm  0.178  0.178  0.584
Pm  0.252  0.252  0.828
Pm  0.465  0.465  0.286
Pm  0.535  0.535  0.714
Pm  0.748  0.748  0.172
Pm  0.822  0.822  0.416
Pr  0.127  0.127  0.299
Pr  0.369  0.369  0.063
Pr  0.500  0.500  0.500
Pr  0.631  0.631  0.937
Pr  0.873  0.873  0.701

---

Here is a relaxed Pm3Pr2 crystal from Alexandria via LeMat-Bulk. Energies are from PBE.

* ΔH_f (0 K): 0.85 eV per formula unit
* total magnetic moment: 0.00 μB per formula unit
* VASP energy: -4.59 eV/atom
* DOS(E_F): 8.3 states/eV/f.u.
* crystal system: orthorhombic
* energy above the lowest structure with this stoichiometry: 0 meV/atom

Lattice parameters (Å, degrees): 6.336 6.336 6.336 128.78 107.31 94.36
Fractional coordinates of all 5 atoms:
Pm  0.000  0.000  0.000
Pm  0.305  0.805  0.500
Pm  0.695  0.195  0.500
Pr  0.290  0.500  0.790
Pr  0.710  0.500  0.210

---

Here is a relaxed Pm3Pr8 crystal from Alexandria via LeMat-Bulk. Energies are from PBE.

* ΔH_f (0 K): 0.14 eV per formula unit
* total magnetic moment: 0.00 μB per formula unit
* VASP energy: -4.76 eV/atom
* DOS(E_F): 18.3 states/eV/f.u.
* crystal system: monoclinic
* energy above the lowest structure with this stoichiometry: 0 meV/atom

Lattice parameters (Å, degrees): 6.427 6.427 13.338 103.79 103.79 47.86
Fractional coordinates of all 11 atoms:
Pm  0.000  0.000  0.000
Pm  0.091  0.091  0.636
Pm  0.909  0.909  0.364
Pr  0.182  0.182  0.273
Pr  0.272  0.272  0.909
Pr  0.364  0.364  0.545
Pr  0.455  0.455  0.182
Pr  0.545  0.545  0.818
Pr  0.636  0.636  0.455
Pr  0.728  0.728  0.091
Pr  0.818  0.818  0.727